Entry 1:
A relaxed structure of BaTaPt2. Source: the Alexandria database, functional PBE.

- formation energy from the elements (eV per atom) = -0.05
- relative energy among the computed polymorphs (meV per atom) = 467.6
- N(E_F) (states/eV per cell) = 2.3
- ρ (g cm⁻³) = 13.9

a b c (Å): 5.3244 5.3244 2.9941
angles (deg): 90.00 90.00 90.00
Space group P4/mmm (No. 123)
Asymmetric unit:
Ba1 0.0000 0.0000 0.0000 (multiplicity 1)
Ta1 0.5000 0.5000 0.0000 (multiplicity 1)
Pt1 0.0000 0.5000 0.5000 (multiplicity 2)

***

Entry 2:
A relaxed structure of BaTaPt2. Source: the Alexandria database, functional PBE.

- formation energy from the elements (eV per atom) = 0.24
- relative energy among the computed polymorphs (meV per atom) = 762.4
- N(E_F) (states/eV per cell) = 16.6
- ρ (g cm⁻³) = 13.5

a b c (Å): 7.0307 7.0307 7.0307
angles (deg): 90.00 90.00 90.00
Space group Fm-3m (No. 225)
Asymmetric unit:
Ba1 0.0000 0.0000 0.0000 (multiplicity 4)
Ta1 0.0000 0.0000 0.5000 (multiplicity 4)
Pt1 0.2500 0.2500 0.2500 (multiplicity 8)

***

Entry 3:
A relaxed structure of BaTaPt2. Source: the Alexandria database, functional PBE.

- formation energy from the elements (eV per atom) = -0.49
- relative energy among the computed polymorphs (meV per atom) = 33.8
- N(E_F) (states/eV per cell) = 1.8
- ρ (g cm⁻³) = 13.2

a b c (Å): 3.3622 3.3622 7.8920
angles (deg): 90.00 90.00 90.00
Space group P4/mmm (No. 123)
Asymmetric unit:
Ba1 0.0000 0.0000 0.0000 (multiplicity 1)
Ta1 0.0000 0.0000 0.5000 (multiplicity 1)
Pt1 0.5000 0.5000 0.3235 (multiplicity 2)

***

Entry 4:
A relaxed structure of BaTa2PtW. Source: the Alexandria database, functional PBE.

- formation energy from the elements (eV per atom) = 3.24
- N(E_F) (states/eV per cell) = 4.6
- ρ (g cm⁻³) = 12.1

a b c (Å): 4.9616 4.9616 4.8865
angles (deg): 90.00 90.00 90.00
Space group P4/mmm (No. 123)
Asymmetric unit:
Ba1 0.0000 0.0000 0.0000 (multiplicity 1)
Ta1 0.0000 0.5000 0.0000 (multiplicity 2)
Pt1 0.5000 0.5000 0.5000 (multiplicity 1)
W1 0.0000 0.0000 0.5000 (multiplicity 1)

***

Entry 5:
A relaxed structure of BaTb3Pt. Source: the Alexandria database, functional PBE.

- formation energy from the elements (eV per atom) = -0.39
- N(E_F) (states/eV per cell) = 7.8
- ρ (g cm⁻³) = 7.5

a b c (Å): 5.6324 5.6324 5.6324
angles (deg): 90.00 90.00 90.00
Space group Pm-3m (No. 221)
Asymmetric unit:
Ba1 0.0000 0.0000 0.0000 (multiplicity 1)
Tb1 0.0000 0.5000 0.5000 (multiplicity 3)
Pt1 0.5000 0.5000 0.5000 (multiplicity 1)

***

Entry 6:
A relaxed structure of BaTb2Pt9. Source: the Alexandria database, functional PBE.

- formation energy from the elements (eV per atom) = -0.84
- N(E_F) (states/eV per cell) = 24.8
- ρ (g cm⁻³) = 15.8

a b c (Å): 5.5264 5.5264 26.4208
angles (deg): 90.00 90.00 120.00
Space group R-3m (No. 166, hexagonal axes)
Asymmetric unit:
Ba1 0.0000 0.0000 0.0000 (multiplicity 3)
Tb1 0.0000 0.0000 0.1406 (multiplicity 6)
Pt1 0.0000 0.0000 0.3320 (multiplicity 6)
Pt2 0.0000 0.0000 0.5000 (multiplicity 3)
Pt3 0.0050 0.5025 0.9135 (multiplicity 18)